# GGA-PBE PmNdTeI, relaxed
data_PmNdTeI
_symmetry_space_group_name_H-M 'F -4 3 m'
_symmetry_Int_Tables_number 216
_symmetry_space_group_name_Hall 'F -4 2 3'
_cell_length_a 7.7350
_cell_length_b 7.7350
_cell_length_c 7.7350
_cell_angle_alpha 90.00
_cell_angle_beta 90.00
_cell_angle_gamma 90.00
loop_
_atom_site_label
_atom_site_type_symbol
_atom_site_fract_x
_atom_site_fract_y
_atom_site_fract_z
Pm1 Pm 0.0000 0.0000 0.0000
Nd1 Nd 0.0000 0.0000 0.5000
Te1 Te 0.2500 0.2500 0.2500
I1 I 0.2500 0.2500 0.7500
# Raw formation energy ... -1.11 eV/atom
# Theoretical density ... 7.80 g/cm3


# GGA-PBE CePbF, relaxed
data_CePbF
_symmetry_space_group_name_H-M 'I 4 m m'
_symmetry_Int_Tables_number 107
_symmetry_space_group_name_Hall 'I 4 -2'
_cell_length_a 3.4152
_cell_length_b 3.4152
_cell_length_c 12.3502
_cell_angle_alpha 90.00
_cell_angle_beta 90.00
_cell_angle_gamma 90.00
loop_
_atom_site_label
_atom_site_type_symbol
_atom_site_fract_x
_atom_site_fract_y
_atom_site_fract_z
Ce1 Ce 0.0000 0.0000 0.0000
Pb1 Pb 0.0000 0.0000 0.2815
F1 F 0.0000 0.0000 0.5529
# Raw formation energy ... -1.63 eV/atom
# Theoretical density ... 8.45 g/cm3


# GGA-PBE Dy2HoNi, relaxed
data_Dy2HoNi
_symmetry_space_group_name_H-M 'R -3 m'
_symmetry_Int_Tables_number 166
_symmetry_space_group_name_Hall '-R 3 2"'
_cell_length_a 3.6323
_cell_length_b 3.6323
_cell_length_c 28.2715
_cell_angle_alpha 90.00
_cell_angle_beta 90.00
_cell_angle_gamma 120.00
loop_
_atom_site_label
_atom_site_type_symbol
_atom_site_fract_x
_atom_site_fract_y
_atom_site_fract_z
Dy1 Dy 0.0000 0.0000 0.2282
Ho1 Ho 0.0000 0.0000 0.0000
Ni1 Ni 0.0000 0.0000 0.5000
# Offset from the most stable computed form ... 0.695 eV per formula unit
# Theoretical density ... 8.46 g/cm3
# Energy relative to the elements ... -7.5 kJ/mol of atoms


# GGA-PBE La8Nd3Y2, relaxed
data_La8Nd3Y2
_symmetry_space_group_name_H-M 'C 1 2/m 1'
_symmetry_Int_Tables_number 12
_cell_length_a 13.5536
_cell_length_b 12.0682
_cell_length_c 6.2238
_cell_angle_alpha 90.00
_cell_angle_beta 112.45
_cell_angle_gamma 90.00
loop_
_symmetry_equiv_pos_as_xyz
'x,y,z'
'-x,-y,-z'
'-x,y,-z'
'x,-y,z'
'x+1/2,y+1/2,z'
'-x+1/2,-y+1/2,-z'
'-x+1/2,y+1/2,-z'
'x+1/2,-y+1/2,z'
loop_
_atom_site_label
_atom_site_type_symbol
_atom_site_fract_x
_atom_site_fract_y
_atom_site_fract_z
La1 La 0.0830 0.0000 0.2390
La2 La 0.1414 0.5000 0.5910
La3 La 0.1640 0.2545 0.1569
Nd1 Nd 0.0000 0.2295 0.5000
Nd2 Nd 0.0000 0.5000 0.0000
Y1 Y 0.1939 0.0000 0.8236
# Offset from the most stable computed form ... 0.000 eV per formula unit
# Theoretical density ... 6.08 g/cm3
# Energy relative to the elements ... 13.7 kJ/mol of atoms


# GGA-PBE BiB3F, relaxed
data_BiB3F
_symmetry_space_group_name_H-M 'P m -3 m'
_symmetry_Int_Tables_number 221
_symmetry_space_group_name_Hall '-P 4 2 3'
_cell_length_a 4.8722
_cell_length_b 4.8722
_cell_length_c 4.8722
_cell_angle_alpha 90.00
_cell_angle_beta 90.00
_cell_angle_gamma 90.00
loop_
_atom_site_label
_atom_site_type_symbol
_atom_site_fract_x
_atom_site_fract_y
_atom_site_fract_z
Bi1 Bi 0.0000 0.0000 0.0000
B1 B 0.0000 0.0000 0.5000
F1 F 0.5000 0.5000 0.5000
# Raw formation energy ... 2.27 eV/atom
# Offset from the most stable computed form ... 2.772 eV per formula unit
# Theoretical density ... 3.74 g/cm3


# GGA-PBE TlPdRh2S, relaxed
data_TlPdRh2S
_symmetry_space_group_name_H-M 'P 4/m m m'
_symmetry_Int_Tables_number 123
_symmetry_space_group_name_Hall '-P 4 2'
_cell_length_a 4.9973
_cell_length_b 4.9973
_cell_length_c 4.3984
_cell_angle_alpha 90.00
_cell_angle_beta 90.00
_cell_angle_gamma 90.00
loop_
_atom_site_label
_atom_site_type_symbol
_atom_site_fract_x
_atom_site_fract_y
_atom_site_fract_z
Tl1 Tl 0.0000 0.0000 0.0000
Pd1 Pd 0.5000 0.5000 0.5000
Rh1 Rh 0.0000 0.5000 0.5000
S1 S 0.5000 0.5000 0.0000
# Raw formation energy ... 0.88 eV/atom
# Theoretical density ... 8.29 g/cm3


# GGA-PBE BeTl2SF, relaxed
data_BeTl2SF
_symmetry_space_group_name_H-M 'P 4/m m m'
_symmetry_Int_Tables_number 123
_symmetry_space_group_name_Hall '-P 4 2'
_cell_length_a 5.2611
_cell_length_b 5.2611
_cell_length_c 4.4380
_cell_angle_alpha 90.00
_cell_angle_beta 90.00
_cell_angle_gamma 90.00
loop_
_atom_site_label
_atom_site_type_symbol
_atom_site_fract_x
_atom_site_fract_y
_atom_site_fract_z
Be1 Be 0.0000 0.0000 0.0000
Tl1 Tl 0.0000 0.5000 0.5000
S1 S 0.5000 0.5000 0.0000
F1 F 0.5000 0.5000 0.5000
# Raw formation energy ... 0.21 eV/atom
# Theoretical density ... 6.34 g/cm3


# GGA-PBE LaAl2SiAg, relaxed
data_LaAl2SiAg
_symmetry_space_group_name_H-M 'I m m 2'
_symmetry_Int_Tables_number 44
_cell_length_a 4.2381
_cell_length_b 4.3234
_cell_length_c 11.0863
_cell_angle_alpha 90.00
_cell_angle_beta 90.00
_cell_angle_gamma 90.00
loop_
_symmetry_equiv_pos_as_xyz
'x,y,z'
'-x,-y,z'
'-x,y,z'
'x,-y,z'
'x+1/2,y+1/2,z+1/2'
'-x+1/2,-y+1/2,z+1/2'
'-x+1/2,y+1/2,z+1/2'
'x+1/2,-y+1/2,z+1/2'
loop_
_atom_site_label
_atom_site_type_symbol
_atom_site_fract_x
_atom_site_fract_y
_atom_site_fract_z
La1 La 0.0000 0.0000 0.0000
Al1 Al 0.0000 0.0000 0.3821
Al2 Al 0.0000 0.5000 0.2428
Si1 Si 0.0000 0.0000 0.6040
Ag1 Ag 0.0000 0.5000 0.7450
# Raw formation energy ... -0.44 eV/atom
# Theoretical density ... 5.38 g/cm3


# GGA-PBE CsBaTlPb, relaxed
data_CsBaTlPb
_symmetry_space_group_name_H-M 'F -4 3 m'
_symmetry_Int_Tables_number 216
_symmetry_space_group_name_Hall 'F -4 2 3'
_cell_length_a 8.8596
_cell_length_b 8.8596
_cell_length_c 8.8596
_cell_angle_alpha 90.00
_cell_angle_beta 90.00
_cell_angle_gamma 90.00
loop_
_atom_site_label
_atom_site_type_symbol
_atom_site_fract_x
_atom_site_fract_y
_atom_site_fract_z
Cs1 Cs 0.0000 0.0000 0.0000
Ba1 Ba 0.0000 0.0000 0.5000
Tl1 Tl 0.2500 0.2500 0.7500
Pb1 Pb 0.2500 0.2500 0.2500
# Theoretical density ... 6.51 g/cm3
# Energy relative to the elements ... -15.7 kJ/mol of atoms


# GGA-PBE CoSeIN2, relaxed
data_CoSeIN2
_symmetry_space_group_name_H-M 'P 4/m m m'
_symmetry_Int_Tables_number 123
_symmetry_space_group_name_Hall '-P 4 2'
_cell_length_a 3.7717
_cell_length_b 3.7717
_cell_length_c 7.6158
_cell_angle_alpha 90.00
_cell_angle_beta 90.00
_cell_angle_gamma 90.00
loop_
_atom_site_label
_atom_site_type_symbol
_atom_site_fract_x
_atom_site_fract_y
_atom_site_fract_z
Co1 Co 0.0000 0.0000 0.0000
Se1 Se 0.5000 0.5000 0.5000
I1 I 0.5000 0.5000 0.0000
N1 N 0.0000 0.5000 0.5000
# Raw formation energy ... 1.70 eV/atom
# Offset from the most stable computed form ... 1.801 eV per formula unit
# Theoretical density ... 4.49 g/cm3


# GGA-PBE Nd6SmTh3, relaxed
data_Nd6SmTh3
_symmetry_space_group_name_H-M 'P 1 21/m 1'
_symmetry_Int_Tables_number 11
_cell_length_a 13.5473
_cell_length_b 3.5439
_cell_length_c 14.4754
_cell_angle_alpha 90.00
_cell_angle_beta 95.01
_cell_angle_gamma 90.00
loop_
_symmetry_equiv_pos_as_xyz
'x,y,z'
'-x,-y,-z'
'-x,y+1/2,-z'
'x,-y+1/2,z'
loop_
_atom_site_label
_atom_site_type_symbol
_atom_site_fract_x
_atom_site_fract_y
_atom_site_fract_z
Nd1 Nd 0.0346 0.2500 0.1995
Nd2 Nd 0.0545 0.2500 0.6006
Nd3 Nd 0.2059 0.2500 0.8147
Nd4 Nd 0.2762 0.7500 0.2140
Nd5 Nd 0.3815 0.7500 0.9822
Nd6 Nd 0.4305 0.2500 0.3977
Sm1 Sm 0.3090 0.7500 0.6122
Th1 Th 0.1159 0.7500 0.0099
Th2 Th 0.1838 0.2500 0.4113
Th3 Th 0.4663 0.2500 0.7893
# Theoretical density ... 8.21 g/cm3
# Energy relative to the elements ... 12.8 kJ/mol of atoms


# GGA-PBE Y2HPb, relaxed
data_Y2HPb
_symmetry_space_group_name_H-M 'R -3 m'
_symmetry_Int_Tables_number 166
_symmetry_space_group_name_Hall '-R 3 2"'
_cell_length_a 3.5811
_cell_length_b 3.5811
_cell_length_c 24.1314
_cell_angle_alpha 90.00
_cell_angle_beta 90.00
_cell_angle_gamma 120.00
loop_
_atom_site_label
_atom_site_type_symbol
_atom_site_fract_x
_atom_site_fract_y
_atom_site_fract_z
Y1 Y 0.0000 0.0000 0.2236
H1 H 0.0000 0.0000 0.5000
Pb1 Pb 0.0000 0.0000 0.0000
# Offset from the most stable computed form ... 0.843 eV per formula unit
# Theoretical density ... 7.18 g/cm3


The records above yield volume values of 28.92, 24.01, 26.92, 36.19, 23.13, 21.97, 24.57, 20.31, 43.46, 21.67, 34.62, 22.33 A^3/atom, respectively.
The records above yield density of states at the Fermi level values of 11.3, 13.3, 12.6, 46.3, 4.8, 6.8, 1.7, 4.4, 9.6, 3.6, 31.6, 9.4 states/eV/cell, respectively.